# Ca4MgZn8 PBE-GGA relaxed
# - Crystal system: tetragonal
# - Final energy: -1.5596 eV/atom
# - Excess energy over the best structure of this formula in the dataset: 65 meV/atom
data_Ca4MgZn8
_cell_length_a 12.843
_cell_length_b 12.843
_cell_length_c 3.901
_cell_angle_alpha 90.00
_cell_angle_beta 90.00
_cell_angle_gamma 90.00
_symmetry_space_group_name_H-M 'I 4/m'
_symmetry_Int_Tables_number 87
_symmetry_space_group_name_Hall '-I 4'
loop_
_atom_site_label
_atom_site_type_symbol
_atom_site_fract_x
_atom_site_fract_y
_atom_site_fract_z
Ca1 Ca 0.094 0.213 0.000
Mg1 Mg 0.000 0.000 0.500
Zn1 Zn 0.016 0.608 0.500
Zn2 Zn 0.125 0.688 0.000